Entry 1:
The following is a DFT calculation (PBE) of a relaxed structure of Be7Pt6.

Results
The density of states at the Fermi level comes out at 0.224 states/eV per atom. The calculation puts the formation enthalpy at 0 K at -0.44 eV/atom.

Cell: 8.7481 8.7481 8.7481 Å, 30.40 30.40 30.40°
Element x y z (fractional)
Be 0.9071 0.4096 0.4096
Be 0.4096 0.4096 0.9071
Be 0.4096 0.9071 0.4096
Be 0.0929 0.5904 0.5904
Be 0.5904 0.0929 0.5904
Be 0.5904 0.5904 0.0929
Be 0.5000 0.5000 0.5000
Pt 0.9459 0.9459 0.9459
Pt 0.0541 0.0541 0.0541
Pt 0.8373 0.8373 0.8373
Pt 0.1627 0.1627 0.1627
Pt 0.6796 0.6796 0.6796
Pt 0.3204 0.3204 0.3204

***

Entry 2:
The following is a DFT calculation (PBE) of a relaxed structure of Be4Pt.

Results
The density of states at the Fermi level comes out at 0.411 states/eV per atom. The calculation puts the formation enthalpy at 0 K at 0.59 eV/atom. The energy above the lowest structure with this stoichiometry is 961 meV per atom.

Cell: 4.2308 4.2308 4.2308 Å, 90.00 90.00 90.00°
Element x y z (fractional)
Be 0.0000 0.0000 0.0000
Be 0.5000 0.0000 0.5000
Be 0.0000 0.5000 0.5000
Be 0.5000 0.5000 0.0000
Pt 0.5000 0.5000 0.5000

***

Entry 3:
The following is a DFT calculation (PBE) of a relaxed structure of Be4Pt5.

Results
The density of states at the Fermi level comes out at 0.239 states/eV per atom. The calculation puts the formation enthalpy at 0 K at -0.54 eV/atom. The energy above the lowest structure with this stoichiometry is 0 meV per atom.

Cell: 6.8634 6.8634 5.4799 Å, 90.00 90.00 60.00°
Element x y z (fractional)
Be 0.0000 0.0000 0.0000
Be 0.0000 0.0000 0.5000
Be 0.6098 0.3902 0.2500
Be 0.0000 0.6098 0.2500
Be 0.3902 0.0000 0.2500
Be 0.3902 0.6098 0.7500
Be 0.0000 0.3902 0.7500
Be 0.6098 0.0000 0.7500
Pt 0.2687 0.7313 0.2500
Pt 0.0000 0.2687 0.2500
Pt 0.7313 0.0000 0.2500
Pt 0.7313 0.2687 0.7500
Pt 0.0000 0.7313 0.7500
Pt 0.2687 0.0000 0.7500
Pt 0.3333 0.3333 0.0000
Pt 0.6667 0.6667 0.5000
Pt 0.6667 0.6667 0.0000
Pt 0.3333 0.3333 0.5000

***

Entry 4:
The following is a DFT calculation (PBE) of a relaxed structure of Be5Pt3.

Results
The density of states at the Fermi level comes out at 0.182 states/eV per atom. The calculation puts the formation enthalpy at 0 K at -0.61 eV/atom. The energy above the lowest structure with this stoichiometry is 0 meV per atom.

Cell: 4.8223 4.8223 3.7925 Å, 90.00 90.00 92.70°
Element x y z (fractional)
Be 0.0000 0.0000 0.0000
Be 0.0000 0.5000 0.0000
Be 0.5000 0.0000 0.0000
Be 0.2865 0.2865 0.5000
Be 0.7135 0.7135 0.5000
Pt 0.5000 0.5000 0.0000
Pt 0.7976 0.2024 0.5000
Pt 0.2024 0.7976 0.5000

***

Entry 5:
The following is a DFT calculation (PBE) of a relaxed structure of BePt4.

Results
The density of states at the Fermi level comes out at 1.053 states/eV per atom. The calculation puts the formation enthalpy at 0 K at -0.21 eV/atom. The energy above the lowest structure with this stoichiometry is 0 meV per atom.

Cell: 5.3023 5.2908 5.9181 Å, 116.55 90.00 90.00°
Element x y z (fractional)
Be 0.0000 0.0000 0.0000
Be 0.5000 0.5000 0.0000
Pt 0.1852 0.5534 0.7433
Pt 0.1852 0.4466 0.2567
Pt 0.3148 0.0534 0.7433
Pt 0.8148 0.1900 0.7433
Pt 0.6852 0.3100 0.2567
Pt 0.8148 0.8100 0.2567
Pt 0.6852 0.6900 0.7433
Pt 0.3148 0.9466 0.2567

***

Entry 6:
The following is a DFT calculation (PBE) of a relaxed structure of Be5Pt.

Results
The density of states at the Fermi level comes out at 0.257 states/eV per atom. The calculation puts the formation enthalpy at 0 K at -0.17 eV/atom.

Cell: 2.7919 2.7919 7.3765 Å, 90.00 90.00 90.00°
Element x y z (fractional)
Be 0.0000 0.0000 0.6856
Be 0.5000 0.5000 0.8429
Be 0.0000 0.0000 0.0000
Be 0.5000 0.5000 0.1571
Be 0.0000 0.0000 0.3144
Pt 0.5000 0.5000 0.5000

***

Entry 7:
The following is a DFT calculation (PBE) of a relaxed structure of Be4Pt5.

Results
The density of states at the Fermi level comes out at 0.348 states/eV per atom. The calculation puts the formation enthalpy at 0 K at -0.32 eV/atom. The energy above the lowest structure with this stoichiometry is 225 meV per atom.

Cell: 5.9171 5.9171 5.9171 Å, 96.50 96.50 140.68°
Element x y z (fractional)
Be 0.0000 0.2907 0.2907
Be 0.0000 0.7093 0.7093
Be 0.2907 0.0000 0.2907
Be 0.7093 0.0000 0.7093
Pt 0.0000 0.0000 0.0000
Pt 0.3262 0.3262 0.6524
Pt 0.3262 0.6738 0.0000
Pt 0.6738 0.3262 0.0000
Pt 0.6738 0.6738 0.3476

***

Entry 8:
The following is a DFT calculation (PBE) of a relaxed structure of Be3Pt5.

Results
The density of states at the Fermi level comes out at 0.424 states/eV per atom. The calculation puts the formation enthalpy at 0 K at -0.52 eV/atom. The energy above the lowest structure with this stoichiometry is 134 meV per atom.

Cell: 5.3462 5.3462 3.6840 Å, 90.00 90.00 98.23°
Element x y z (fractional)
Be 0.5000 0.5000 0.0000
Be 0.7730 0.2270 0.5000
Be 0.2270 0.7730 0.5000
Pt 0.0000 0.0000 0.0000
Pt 0.0000 0.5000 0.0000
Pt 0.5000 0.0000 0.0000
Pt 0.3002 0.3002 0.5000
Pt 0.6998 0.6998 0.5000

***

Entry 9:
The following is a DFT calculation (PBE) of a relaxed structure of Be3Pt2.

Results
The density of states at the Fermi level comes out at 0.371 states/eV per atom. The calculation puts the formation enthalpy at 0 K at -0.44 eV/atom. The energy above the lowest structure with this stoichiometry is 151 meV per atom.

Cell: 3.8581 3.8581 4.8814 Å, 90.00 90.00 120.00°
Element x y z (fractional)
Be 0.0000 0.0000 0.0000
Be 0.6667 0.3333 0.6381
Be 0.3333 0.6667 0.3619
Pt 0.6667 0.3333 0.1759
Pt 0.3333 0.6667 0.8241

***

Entry 10:
The following is a DFT calculation (PBE) of a relaxed structure of Be3Pt2.

Results
The density of states at the Fermi level comes out at 0.207 states/eV per atom. The calculation puts the formation enthalpy at 0 K at -0.59 eV/atom. The energy above the lowest structure with this stoichiometry is 0 meV per atom.

Cell: 7.2044 6.5312 4.5069 Å, 79.17 62.92 37.91°
Element x y z (fractional)
Be 0.4501 0.7835 0.4383
Be 0.3281 0.4383 0.7835
Be 0.4665 0.7999 0.9219
Be 0.8117 0.9219 0.7999
Be 0.9853 0.0147 0.0147
Be 0.2353 0.2647 0.2647
Pt 0.8697 0.2369 0.5266
Pt 0.3668 0.5266 0.2369
Pt 0.0131 0.3803 0.8832
Pt 0.7234 0.8832 0.3803

***

Entry 11:
The following is a DFT calculation (PBE) of a relaxed structure of Be4Pt.

Results
The calculation puts the formation enthalpy at 0 K at 0.02 eV/atom. The energy above the lowest structure with this stoichiometry is 390 meV per atom.

Cell: 4.4521 4.4521 4.4521 Å, 109.47 109.47 109.47°
Element x y z (fractional)
Be 0.5000 0.0000 0.0000
Be 0.5000 0.5000 0.5000
Be 0.0000 0.5000 0.0000
Be 0.0000 0.0000 0.5000
Pt 0.0000 0.0000 0.0000

***

Entry 12:
The following is a DFT calculation (PBE) of a relaxed structure of Be3Pt5.

Results
The density of states at the Fermi level comes out at 0.337 states/eV per atom. The calculation puts the formation enthalpy at 0 K at -0.65 eV/atom. The energy above the lowest structure with this stoichiometry is 0 meV per atom.

Cell: 2.7989 2.7989 12.8796 Å, 90.00 90.00 90.00°
Element x y z (fractional)
Be 0.5000 0.5000 0.1178
Be 0.5000 0.5000 0.8822
Be 0.0000 0.0000 0.5000
Pt 0.0000 0.0000 0.2212
Pt 0.5000 0.5000 0.6107
Pt 0.5000 0.5000 0.3893
Pt 0.0000 0.0000 0.7788
Pt 0.0000 0.0000 0.0000

***

Q: Which of these has the lowest formation enthalpy at 0 K?
A: number 12